Computed, not measured: an optimized crystal structure of FeP2Pt at the PBEsol level of DFT.

Unit cell a=3.0988 b=4.0852 c=4.0852 alpha=90.00 beta=90.00 gamma=90.00
With the nearest neighbours (Å) after each atom.
Atoms (fractional coordinates):
Fe (0.5000, 0.0000, 0.0000)  8 P 2.56
P (0.0000, 0.0000, 0.5000)  4 Fe 2.56, 4 Pt 2.56
P (0.0000, 0.5000, 0.0000)  4 Fe 2.56, 4 Pt 2.56
Pt (0.5000, 0.5000, 0.5000)  8 P 2.56

Values from the calculation:
DFT total energy	-6.90	eV per atom
ΔE_f	-0.018	eV per atom
total magnetic moment	0.54	μB per atom

Computed, not measured: an optimized crystal structure of FeP2Pt at the PBEsol level of DFT.

Unit cell a=2.9533 b=3.9207 c=4.8492 alpha=113.73 beta=90.00 gamma=90.00
With the nearest neighbours (Å) after each atom.
Atoms (fractional coordinates):
Fe (0.0000, 0.0000, 0.5000)  6 P 2.42-2.45
P (0.0000, 0.0000, 0.0000)  2 Fe 2.42, 4 Pt 2.45
P (0.5000, 0.5000, 0.5000)  2 Pt 2.42, 4 Fe 2.45
Pt (0.5000, 0.5000, 0.0000)  6 P 2.42-2.45

Values from the calculation:
DFT total energy	-7.00	eV per atom
ΔE_f	-0.122	eV per atom
total magnetic moment	0.33	μB per atom

Computed, not measured: an optimized crystal structure of FeP2Pt at the PBEsol level of DFT.

Unit cell a=2.8756 b=3.8995 c=4.8846 alpha=101.30 beta=90.00 gamma=111.64
With the nearest neighbours (Å) after each atom.
Atoms (fractional coordinates):
Fe (0.0000, 0.0000, 0.5000)  6 P 2.32-2.35
P (0.7389, 0.4779, 0.7138)  3 Fe 2.32-2.35, 3 Pt 2.44-2.55, 2 P 2.57
P (0.2611, 0.5221, 0.2862)  3 Fe 2.32-2.35, 3 Pt 2.44-2.55, 2 P 2.57
Pt (0.5000, 0.0000, 0.0000)  6 P 2.44-2.55

Values from the calculation:
DFT total energy	-7.08	eV per atom
ΔE_f	-0.205	eV per atom
total magnetic moment	0.00	μB per atom